DFT (PBE with a Hubbard U) results for crystalline PmFe2GeO6 at its relaxed geometry.

**Uncorrected energy**: -6.854 eV per atom
**N(E_F)**: 0.000 states/eV per atom

a = 5.2087 Å, b = 5.2179 Å, c = 5.6706 Å
α = 89.45°, β = 62.94°, γ = 60.10°
Last column: nearest neighbours and their distance in Å.
Fractional coordinates of all 10 atoms:
Pm  0.0000  0.0000  0.0000  5 O 2.26-2.49
Fe  0.4265  0.7839  0.3701  6 O 1.93-2.03
Fe  0.4708  0.2691  0.8077  5 O 2.04-2.28
Ge  0.0598  0.4690  0.4217  6 O 1.93-1.98
O  0.2463  0.1873  0.6093  1 Ge 1.93, 2 Fe 2.02-2.13
O  0.3021  0.0716  0.1533  1 Fe 1.98, 1 Ge 1.98
O  0.4825  0.4500  0.1637  1 Fe 1.93, 1 Ge 1.96
O  0.5963  0.5562  0.6126  1 Ge 1.93, 2 Fe 2.03-2.04
O  0.9195  0.6325  0.1593  1 Ge 1.95, 1 Fe 1.96
O  0.9645  0.8417  0.6090  1 Ge 1.94, 2 Fe 2.01-2.13